Entry from Alexandria: crystalline Ce2YPaN4 at its relaxed geometry (PBE-GGA).

```
data_Ce2YPaN4
_space_group_name_H-M_alt 'P 1 2/m 1'
_space_group_IT_number 10
_cell_length_a 6.071
_cell_length_b 3.531
_cell_length_c 6.152
_cell_angle_alpha 90.00
_cell_angle_beta 109.20
_cell_angle_gamma 90.00
loop_
_space_group_symop_operation_xyz
'x,y,z'
'-x,-y,-z'
'-x,y,-z'
'x,-y,z'
loop_
_atom_site_label
_atom_site_fract_x
_atom_site_fract_y
_atom_site_fract_z
Ce1 0.000 0.000 0.000
Ce2 0.500 0.500 0.000
Y1 0.000 0.500 0.500
Pa1 0.500 0.000 0.500
N1 0.258 0.000 0.735
N2 0.265 0.500 0.272
```



Entry from Alexandria: crystalline CeYPa2N4 at its relaxed geometry (PBE-GGA).

```
data_CeYPa2N4
_space_group_name_H-M_alt 'P 1 2/m 1'
_space_group_IT_number 10
_cell_length_a 6.060
_cell_length_b 3.517
_cell_length_c 6.117
_cell_angle_alpha 90.00
_cell_angle_beta 109.46
_cell_angle_gamma 90.00
loop_
_space_group_symop_operation_xyz
'x,y,z'
'-x,-y,-z'
'-x,y,-z'
'x,-y,z'
loop_
_atom_site_label
_atom_site_fract_x
_atom_site_fract_y
_atom_site_fract_z
Ce1 0.000 0.000 0.000
Y1 0.000 0.500 0.500
Pa1 0.500 0.000 0.500
Pa2 0.500 0.500 0.000
N1 0.266 0.000 0.749
N2 0.269 0.500 0.264
```



Entry from Alexandria: crystalline CePa2ZnN5 at its relaxed geometry (PBE-GGA).

```
data_CePa2ZnN5
_space_group_name_H-M_alt 'I 4/m c m'
_space_group_IT_number 140
_space_group_name_Hall '-I 4 2c'
_cell_length_a 6.587
_cell_length_b 6.587
_cell_length_c 11.288
_cell_angle_alpha 90.00
_cell_angle_beta 90.00
_cell_angle_gamma 90.00
loop_
_atom_site_label
_atom_site_fract_x
_atom_site_fract_y
_atom_site_fract_z
Ce1 0.000 0.000 0.250
Pa1 0.172 0.328 0.000
Zn1 0.000 0.500 0.250
N1 0.000 0.000 0.000
N2 0.159 0.341 0.368
```



Entry from Alexandria: crystalline CeZrPa2N5 at its relaxed geometry (PBE-GGA).

```
data_CeZrPa2N5
_space_group_name_H-M_alt 'C m c 21'
_space_group_IT_number 36
_cell_length_a 3.495
_cell_length_b 14.109
_cell_length_c 11.106
_cell_angle_alpha 90.00
_cell_angle_beta 90.00
_cell_angle_gamma 90.00
loop_
_space_group_symop_operation_xyz
'x,y,z'
'-x,-y,z+1/2'
'-x,y,z'
'x,-y,z+1/2'
'x+1/2,y+1/2,z'
'-x+1/2,-y+1/2,z+1/2'
'-x+1/2,y+1/2,z'
'x+1/2,-y+1/2,z+1/2'
loop_
_atom_site_label
_atom_site_fract_x
_atom_site_fract_y
_atom_site_fract_z
Ce1 0.000 0.015 0.000
Zr1 0.000 0.264 0.521
Pa1 0.000 0.366 0.244
Pa2 0.000 0.366 0.770
N1 0.000 0.027 0.295
N2 0.000 0.126 0.609
N3 0.000 0.197 0.883
N4 0.000 0.223 0.173
N5 0.000 0.416 0.583
```



Entry from Alexandria: crystalline Ce2ZrPaN4 at its relaxed geometry (PBE-GGA).

```
data_Ce2ZrPaN4
_space_group_name_H-M_alt 'P 1 2/m 1'
_space_group_IT_number 10
_cell_length_a 5.976
_cell_length_b 3.454
_cell_length_c 6.061
_cell_angle_alpha 90.00
_cell_angle_beta 108.86
_cell_angle_gamma 90.00
loop_
_space_group_symop_operation_xyz
'x,y,z'
'-x,-y,-z'
'-x,y,-z'
'x,-y,z'
loop_
_atom_site_label
_atom_site_fract_x
_atom_site_fract_y
_atom_site_fract_z
Ce1 0.000 0.000 0.000
Ce2 0.500 0.500 0.000
Zr1 0.000 0.500 0.500
Pa1 0.500 0.000 0.500
N1 0.236 0.000 0.722
N2 0.251 0.500 0.277
```



Entry from Alexandria: crystalline CeZr3Pa2N6 at its relaxed geometry (PBE-GGA).

```
data_CeZr3Pa2N6
_space_group_name_H-M_alt 'C 1 2/m 1'
_space_group_IT_number 12
_cell_length_a 14.816
_cell_length_b 3.370
_cell_length_c 6.827
_cell_angle_alpha 90.00
_cell_angle_beta 104.28
_cell_angle_gamma 90.00
loop_
_space_group_symop_operation_xyz
'x,y,z'
'-x,-y,-z'
'-x,y,-z'
'x,-y,z'
'x+1/2,y+1/2,z'
'-x+1/2,-y+1/2,-z'
'-x+1/2,y+1/2,-z'
'x+1/2,-y+1/2,z'
loop_
_atom_site_label
_atom_site_fract_x
_atom_site_fract_y
_atom_site_fract_z
Ce1 0.000 0.000 0.000
Zr1 0.000 0.000 0.500
Zr2 0.165 0.500 0.832
Pa1 0.167 0.500 0.332
N1 0.001 0.500 0.732
N2 0.163 0.000 0.593
N3 0.173 0.000 0.078
```



Entry from Alexandria: crystalline Ce3ZrPa2N6 at its relaxed geometry (PBE-GGA).

```
data_Ce3ZrPa2N6
_space_group_name_H-M_alt 'C 1 2/m 1'
_space_group_IT_number 12
_cell_length_a 6.033
_cell_length_b 10.442
_cell_length_c 6.092
_cell_angle_alpha 90.00
_cell_angle_beta 109.26
_cell_angle_gamma 90.00
loop_
_space_group_symop_operation_xyz
'x,y,z'
'-x,-y,-z'
'-x,y,-z'
'x,-y,z'
'x+1/2,y+1/2,z'
'-x+1/2,-y+1/2,-z'
'-x+1/2,y+1/2,-z'
'x+1/2,-y+1/2,z'
loop_
_atom_site_label
_atom_site_fract_x
_atom_site_fract_y
_atom_site_fract_z
Ce1 0.000 0.000 0.000
Ce2 0.000 0.335 0.000
Zr1 0.000 0.500 0.500
Pa1 0.000 0.167 0.500
N1 0.238 0.335 0.722
N2 0.246 0.000 0.724
```



Entry from Alexandria: crystalline Ce3ZrPa3N8 at its relaxed geometry (PBE-GGA).

```
data_Ce3ZrPa3N8
_space_group_name_H-M_alt 'R -3 m'
_space_group_IT_number 166
_space_group_name_Hall '-R 3 2"'
_cell_length_a 6.9545
_cell_length_b 6.9545
_cell_length_c 17.2281
_cell_angle_alpha 90.00
_cell_angle_beta 90.00
_cell_angle_gamma 120.00
loop_
_atom_site_label
_atom_site_fract_x
_atom_site_fract_y
_atom_site_fract_z
Ce1 0.0000 0.5000 0.0000
Zr1 0.0000 0.0000 0.5000
Pa1 0.0000 0.5000 0.5000
N1 0.0000 0.0000 0.2424
N2 0.0142 0.5071 0.2365
```



Entry from Alexandria: crystalline Ce5Pb3N at its relaxed geometry (PBE-GGA).

```
data_Ce5Pb3N
_space_group_name_H-M_alt 'P 63/m c m'
_space_group_IT_number 193
_space_group_name_Hall '-P 6c 2'
_cell_length_a 9.4423
_cell_length_b 9.4423
_cell_length_c 6.3625
_cell_angle_alpha 90.00
_cell_angle_beta 90.00
_cell_angle_gamma 120.00
loop_
_atom_site_label
_atom_site_fract_x
_atom_site_fract_y
_atom_site_fract_z
Ce1 0.0000 0.2103 0.2500
Ce2 0.3333 0.6667 0.0000
Pb1 0.0000 0.3977 0.7500
N1 0.0000 0.0000 0.0000
```



Entry from Alexandria: crystalline Ce4Pb2N at its relaxed geometry (PBE-GGA).

```
data_Ce4Pb2N
_space_group_name_H-M_alt 'P 1 21/m 1'
_space_group_IT_number 11
_cell_length_a 6.490
_cell_length_b 6.675
_cell_length_c 9.553
_cell_angle_alpha 90.00
_cell_angle_beta 108.02
_cell_angle_gamma 90.00
loop_
_space_group_symop_operation_xyz
'x,y,z'
'-x,-y,-z'
'-x,y+1/2,-z'
'x,-y+1/2,z'
loop_
_atom_site_label
_atom_site_fract_x
_atom_site_fract_y
_atom_site_fract_z
Ce1 0.197 0.250 0.031
Ce2 0.255 0.750 0.344
Ce3 0.261 0.523 0.706
Pb1 0.249 0.250 0.395
Pb2 0.326 0.750 0.032
N1 0.106 0.250 0.776
```



Entry from Alexandria: crystalline Ce7Pb2N2 at its relaxed geometry (PBE-GGA).

```
data_Ce7Pb2N2
_space_group_name_H-M_alt 'C 1 2/m 1'
_space_group_IT_number 12
_cell_length_a 11.496
_cell_length_b 7.184
_cell_length_c 6.765
_cell_angle_alpha 90.00
_cell_angle_beta 94.12
_cell_angle_gamma 90.00
loop_
_space_group_symop_operation_xyz
'x,y,z'
'-x,-y,-z'
'-x,y,-z'
'x,-y,z'
'x+1/2,y+1/2,z'
'-x+1/2,-y+1/2,-z'
'-x+1/2,y+1/2,-z'
'x+1/2,-y+1/2,z'
loop_
_atom_site_label
_atom_site_fract_x
_atom_site_fract_y
_atom_site_fract_z
Ce1 0.000 0.000 0.000
Ce2 0.065 0.500 0.843
Ce3 0.230 0.280 0.233
Pb1 0.000 0.206 0.500
N1 0.223 0.000 0.027
```



Entry from Alexandria: crystalline Ce3PbN3 at its relaxed geometry (PBE-GGA).

```
data_Ce3PbN3
_space_group_name_H-M_alt 'C 1 2/m 1'
_space_group_IT_number 12
_cell_length_a 14.129
_cell_length_b 3.962
_cell_length_c 12.203
_cell_angle_alpha 90.00
_cell_angle_beta 121.54
_cell_angle_gamma 90.00
loop_
_space_group_symop_operation_xyz
'x,y,z'
'-x,-y,-z'
'-x,y,-z'
'x,-y,z'
'x+1/2,y+1/2,z'
'-x+1/2,-y+1/2,-z'
'-x+1/2,y+1/2,-z'
'x+1/2,-y+1/2,z'
loop_
_atom_site_label
_atom_site_fract_x
_atom_site_fract_y
_atom_site_fract_z
Ce1 0.128 0.000 0.404
Ce2 0.128 0.000 0.929
Ce3 0.148 0.500 0.697
Pb1 0.105 0.500 0.155
N1 0.064 0.000 0.697
N2 0.174 0.500 0.519
N3 0.194 0.500 0.904
```



Entry from Alexandria: crystalline Ce5Pb2N2 at its relaxed geometry (PBE-GGA).

```
data_Ce5Pb2N2
_space_group_name_H-M_alt 'P 4/m m m'
_space_group_IT_number 123
_space_group_name_Hall '-P 4 2'
_cell_length_a 4.848
_cell_length_b 4.848
_cell_length_c 9.928
_cell_angle_alpha 90.00
_cell_angle_beta 90.00
_cell_angle_gamma 90.00
loop_
_atom_site_label
_atom_site_fract_x
_atom_site_fract_y
_atom_site_fract_z
Ce1 0.000 0.000 0.000
Ce2 0.000 0.500 0.275
Pb1 0.500 0.500 0.000
Pb2 0.500 0.500 0.500
N1 0.000 0.000 0.235
```



Entry from Alexandria: crystalline Ce5Pb2N at its relaxed geometry (PBE-GGA).

```
data_Ce5Pb2N
_space_group_name_H-M_alt 'C m c m'
_space_group_IT_number 63
_space_group_name_Hall '-C 2c 2'
_cell_length_a 5.181
_cell_length_b 17.310
_cell_length_c 11.633
_cell_angle_alpha 90.00
_cell_angle_beta 90.00
_cell_angle_gamma 90.00
loop_
_atom_site_label
_atom_site_fract_x
_atom_site_fract_y
_atom_site_fract_z
Ce1 0.000 0.072 0.138
Ce2 0.000 0.274 0.083
Ce3 0.000 0.306 0.750
Pb1 0.000 0.121 0.621
N1 0.000 0.191 0.250
```



Entry from Alexandria: crystalline Ce2PbN at its relaxed geometry (PBE-GGA).

```
data_Ce2PbN
_space_group_name_H-M_alt 'R -3 m'
_space_group_IT_number 166
_space_group_name_Hall '-R 3 2"'
_cell_length_a 3.5735
_cell_length_b 3.5735
_cell_length_c 25.0096
_cell_angle_alpha 90.00
_cell_angle_beta 90.00
_cell_angle_gamma 120.00
loop_
_atom_site_label
_atom_site_fract_x
_atom_site_fract_y
_atom_site_fract_z
Ce1 0.0000 0.0000 0.2222
Pb1 0.0000 0.0000 0.0000
N1 0.0000 0.0000 0.5000
```



Entry from Alexandria: crystalline Ce4Pb5N at its relaxed geometry (PBE-GGA).

```
data_Ce4Pb5N
_space_group_name_H-M_alt 'C 1 2/m 1'
_space_group_IT_number 12
_cell_length_a 19.355
_cell_length_b 3.547
_cell_length_c 8.295
_cell_angle_alpha 90.00
_cell_angle_beta 97.35
_cell_angle_gamma 90.00
loop_
_space_group_symop_operation_xyz
'x,y,z'
'-x,-y,-z'
'-x,y,-z'
'x,-y,z'
'x+1/2,y+1/2,z'
'-x+1/2,-y+1/2,-z'
'-x+1/2,y+1/2,-z'
'x+1/2,-y+1/2,z'
loop_
_atom_site_label
_atom_site_fract_x
_atom_site_fract_y
_atom_site_fract_z
Ce1 0.049 0.000 0.183
Ce2 0.109 0.500 0.861
Pb1 0.000 0.500 0.500
Pb2 0.162 0.000 0.541
Pb3 0.219 0.000 0.165
N1 0.000 0.500 0.000
```



Entry from Alexandria: crystalline Ce4Pb2N at its relaxed geometry (PBE-GGA).

```
data_Ce4Pb2N
_space_group_name_H-M_alt 'I 4/m m m'
_space_group_IT_number 139
_space_group_name_Hall '-I 4 2'
_cell_length_a 4.855
_cell_length_b 4.855
_cell_length_c 16.562
_cell_angle_alpha 90.00
_cell_angle_beta 90.00
_cell_angle_gamma 90.00
loop_
_atom_site_label
_atom_site_fract_x
_atom_site_fract_y
_atom_site_fract_z
Ce1 0.000 0.000 0.157
Ce2 0.000 0.500 0.000
Pb1 0.000 0.000 0.357
N1 0.000 0.000 0.000
```



Entry from Alexandria: crystalline Ce2PbN at its relaxed geometry (PBE-GGA).

```
data_Ce2PbN
_space_group_name_H-M_alt 'P 4/n m m'
_space_group_IT_number 129
_cell_length_a 4.686
_cell_length_b 4.686
_cell_length_c 9.134
_cell_angle_alpha 90.00
_cell_angle_beta 90.00
_cell_angle_gamma 90.00
loop_
_space_group_symop_operation_xyz
'x,y,z'
'-x,-y,-z'
'-y+1/2,x,z'
'y+1/2,-x,-z'
'-x+1/2,-y+1/2,z'
'x+1/2,y+1/2,-z'
'y,-x+1/2,z'
'-y,x+1/2,-z'
'x+1/2,-y,-z'
'-x+1/2,y,z'
'-y,-x,-z'
'y,x,z'
'-x,y+1/2,-z'
'x,-y+1/2,z'
'y+1/2,x+1/2,-z'
'-y+1/2,-x+1/2,z'
loop_
_atom_site_label
_atom_site_fract_x
_atom_site_fract_y
_atom_site_fract_z
Ce1 0.250 0.250 0.171
Ce2 0.250 0.750 0.500
Pb1 0.250 0.250 0.799
N1 0.250 0.250 0.410
```



Entry from Alexandria: crystalline Ce6Pb3N at its relaxed geometry (PBE-GGA).

```
data_Ce6Pb3N
_space_group_name_H-M_alt 'P 1 21/c 1'
_space_group_IT_number 14
_cell_length_a 6.326
_cell_length_b 8.399
_cell_length_c 12.144
_cell_angle_alpha 90.00
_cell_angle_beta 117.98
_cell_angle_gamma 90.00
loop_
_space_group_symop_operation_xyz
'x,y,z'
'-x,-y,-z'
'-x,y+1/2,-z+1/2'
'x,-y+1/2,z+1/2'
loop_
_atom_site_label
_atom_site_fract_x
_atom_site_fract_y
_atom_site_fract_z
Ce1 0.091 0.038 0.218
Ce2 0.146 0.730 0.052
Ce3 0.407 0.126 0.041
Pb1 0.337 0.113 0.729
Pb2 0.500 0.000 0.500
N1 0.000 0.000 0.000
```



Entry from Alexandria: crystalline Ce3PbN2 at its relaxed geometry (PBE-GGA).

```
data_Ce3PbN2
_space_group_name_H-M_alt 'I 4/m m m'
_space_group_IT_number 139
_space_group_name_Hall '-I 4 2'
_cell_length_a 4.731
_cell_length_b 4.731
_cell_length_c 11.943
_cell_angle_alpha 90.00
_cell_angle_beta 90.00
_cell_angle_gamma 90.00
loop_
_atom_site_label
_atom_site_fract_x
_atom_site_fract_y
_atom_site_fract_z
Ce1 0.000 0.000 0.000
Ce2 0.000 0.500 0.250
Pb1 0.000 0.000 0.500
N1 0.000 0.000 0.190
```



no.,uncorrected formation energy (kcal/mol of atoms),E (eV/cell)
1,-36.99,-73.961
2,-37.53,-77.711
3,-27.96,-314.949
4,-32.52,-351.170
5,-37.65,-76.275
6,-38.24,-240.838
7,-37.64,-229.763
8,-34.68,-432.005
9,-15.18,-110.090
10,-15.30,-88.245
11,-11.92,-142.579
12,-28.75,-220.853
13,-18.24,-60.854
14,-3.40,-186.368
15,-21.30,-82.788
16,-9.59,-109.521
17,-15.85,-88.575
18,-21.96,-55.423
19,-10.94,-119.595
20,-25.21,-89.442